(1)
# Mg2TlHg2 | Alexandria | PBE | optimized geometry
# * energy relative to the elements: -0.12 eV/atom
data_Mg2TlHg2
_symmetry_space_group_name_H-M 'P 4/m b m'
_symmetry_Int_Tables_number 127
_symmetry_space_group_name_Hall '-P 4 2ab'
_cell_length_a 8.3962
_cell_length_b 8.3962
_cell_length_c 3.3796
_cell_angle_alpha 90.00
_cell_angle_beta 90.00
_cell_angle_gamma 90.00
loop_
_atom_site_label
_atom_site_type_symbol
_atom_site_fract_x
_atom_site_fract_y
_atom_site_fract_z
_atom_site_occupancy
Mg1 Mg 0.1660 0.3340 0.0000 1
Tl1 Tl 0.0000 0.0000 0.5000 1
Hg1 Hg 0.1321 0.6321 0.5000 1

***

(2)
# HoGeMo | Alexandria | PBE | optimized geometry
# * energy relative to the elements: -0.50 eV/atom
data_HoGeMo
_symmetry_space_group_name_H-M 'P 4/n m m'
_symmetry_Int_Tables_number 129
_cell_length_a 3.9214
_cell_length_b 3.9214
_cell_length_c 7.7181
_cell_angle_alpha 90.00
_cell_angle_beta 90.00
_cell_angle_gamma 90.00
loop_
_symmetry_equiv_pos_as_xyz
'x,y,z'
'-x,-y,-z'
'-y+1/2,x,z'
'y+1/2,-x,-z'
'-x+1/2,-y+1/2,z'
'x+1/2,y+1/2,-z'
'y,-x+1/2,z'
'-y,x+1/2,-z'
'x+1/2,-y,-z'
'-x+1/2,y,z'
'-y,-x,-z'
'y,x,z'
'-x,y+1/2,-z'
'x,-y+1/2,z'
'y+1/2,x+1/2,-z'
'-y+1/2,-x+1/2,z'
loop_
_atom_site_label
_atom_site_type_symbol
_atom_site_fract_x
_atom_site_fract_y
_atom_site_fract_z
_atom_site_occupancy
Ho1 Ho 0.2500 0.2500 0.1452 1
Ge1 Ge 0.2500 0.2500 0.7412 1
Mo1 Mo 0.2500 0.7500 0.5000 1

***

(3)
# Ta2SiTe | Alexandria | PBE | optimized geometry
# * formation energy (no corrections): 0.43 eV per atom
data_Ta2SiTe
_symmetry_space_group_name_H-M 'I -4 2 d'
_symmetry_Int_Tables_number 122
_symmetry_space_group_name_Hall 'I -4 2bw'
_cell_length_a 4.0949
_cell_length_b 4.0949
_cell_length_c 19.0081
_cell_angle_alpha 90.00
_cell_angle_beta 90.00
_cell_angle_gamma 90.00
loop_
_atom_site_label
_atom_site_type_symbol
_atom_site_fract_x
_atom_site_fract_y
_atom_site_fract_z
_atom_site_occupancy
Ta1 Ta 0.2364 0.2500 0.1250 1
Si1 Si 0.0000 0.0000 0.0000 1
Te1 Te 0.0000 0.0000 0.5000 1

***

(4)
# Tb6TlCu | Alexandria | PBE | optimized geometry
# * energy relative to the elements: 0.14 eV/atom
data_Tb6TlCu
_symmetry_space_group_name_H-M 'P -1'
_symmetry_Int_Tables_number 2
_cell_length_a 6.9404
_cell_length_b 6.9512
_cell_length_c 6.9527
_cell_angle_alpha 63.29
_cell_angle_beta 63.31
_cell_angle_gamma 63.39
loop_
_symmetry_equiv_pos_as_xyz
'x,y,z'
'-x,-y,-z'
loop_
_atom_site_label
_atom_site_type_symbol
_atom_site_fract_x
_atom_site_fract_y
_atom_site_fract_z
_atom_site_occupancy
Tb1 Tb 0.0295 0.2719 0.4372 1
Tb2 Tb 0.2284 0.0631 0.9699 1
Tb3 Tb 0.4384 0.5292 0.7714 1
Tl1 Tl 0.5000 0.0000 0.5000 1
Cu1 Cu 0.0000 0.5000 0.0000 1

***

(5)
# Ag3SeI | Alexandria | PBE | optimized geometry
# * formation energy (no corrections): -0.09 eV per atom
data_Ag3SeI
_symmetry_space_group_name_H-M 'C m c 21'
_symmetry_Int_Tables_number 36
_cell_length_a 4.3876
_cell_length_b 17.3286
_cell_length_c 7.1517
_cell_angle_alpha 90.00
_cell_angle_beta 90.00
_cell_angle_gamma 90.00
loop_
_symmetry_equiv_pos_as_xyz
'x,y,z'
'-x,-y,z+1/2'
'-x,y,z'
'x,-y,z+1/2'
'x+1/2,y+1/2,z'
'-x+1/2,-y+1/2,z+1/2'
'-x+1/2,y+1/2,z'
'x+1/2,-y+1/2,z+1/2'
loop_
_atom_site_label
_atom_site_type_symbol
_atom_site_fract_x
_atom_site_fract_y
_atom_site_fract_z
_atom_site_occupancy
Ag1 Ag 0.0000 0.0882 0.0000 1
Ag2 Ag 0.0000 0.2343 0.7735 1
Ag3 Ag 0.0000 0.3516 0.0942 1
Se1 Se 0.0000 0.3188 0.4633 1
I1 I 0.0000 0.0709 0.4141 1

***

(6)
# RbPm2Pd | Alexandria | PBE | optimized geometry
# * energy relative to the elements: -0.14 eV/atom
data_RbPm2Pd
_symmetry_space_group_name_H-M 'R -3 m'
_symmetry_Int_Tables_number 166
_symmetry_space_group_name_Hall '-R 3 2"'
_cell_length_a 4.2906
_cell_length_b 4.2906
_cell_length_c 34.5708
_cell_angle_alpha 90.00
_cell_angle_beta 90.00
_cell_angle_gamma 120.00
loop_
_atom_site_label
_atom_site_type_symbol
_atom_site_fract_x
_atom_site_fract_y
_atom_site_fract_z
_atom_site_occupancy
Rb1 Rb 0.0000 0.0000 0.0000 1
Pm1 Pm 0.0000 0.0000 0.1246 1
Pd1 Pd 0.0000 0.0000 0.5000 1

***

(7)
# Na2AlPt2O6 | Alexandria | PBE | optimized geometry
# * formation energy (no corrections): -1.33 eV per atom
data_Na2AlPt2O6
_symmetry_space_group_name_H-M 'C 1 2/m 1'
_symmetry_Int_Tables_number 12
_cell_length_a 5.4271
_cell_length_b 9.1671
_cell_length_c 5.7827
_cell_angle_alpha 90.00
_cell_angle_beta 109.52
_cell_angle_gamma 90.00
loop_
_symmetry_equiv_pos_as_xyz
'x,y,z'
'-x,-y,-z'
'-x,y,-z'
'x,-y,z'
'x+1/2,y+1/2,z'
'-x+1/2,-y+1/2,-z'
'-x+1/2,y+1/2,-z'
'x+1/2,-y+1/2,z'
loop_
_atom_site_label
_atom_site_type_symbol
_atom_site_fract_x
_atom_site_fract_y
_atom_site_fract_z
_atom_site_occupancy
Na1 Na 0.0000 0.1731 0.0000 1
Al1 Al 0.0000 0.0000 0.5000 1
Pt1 Pt 0.0000 0.3345 0.5000 1
O1 O 0.2197 0.1602 0.6886 1
O2 O 0.2410 0.0000 0.3144 1

***

(8)
# AlZnTc2 | Alexandria | PBE | optimized geometry
# * energy relative to the elements: -0.02 eV/atom
data_AlZnTc2
_symmetry_space_group_name_H-M 'C m m m'
_symmetry_Int_Tables_number 65
_symmetry_space_group_name_Hall '-C 2 2'
_cell_length_a 3.1297
_cell_length_b 4.3634
_cell_length_c 8.4783
_cell_angle_alpha 90.00
_cell_angle_beta 90.00
_cell_angle_gamma 90.00
loop_
_atom_site_label
_atom_site_type_symbol
_atom_site_fract_x
_atom_site_fract_y
_atom_site_fract_z
_atom_site_occupancy
Al1 Al 0.0000 0.0000 0.0000 1
Zn1 Zn 0.0000 0.0000 0.5000 1
Tc1 Tc 0.0000 0.5000 0.2450 1

***

(9)
# TcRu3Pt | Alexandria | PBE | optimized geometry
# * energy relative to the elements: 1.71 eV/atom
data_TcRu3Pt
_symmetry_space_group_name_H-M 'P m -3 m'
_symmetry_Int_Tables_number 221
_symmetry_space_group_name_Hall '-P 4 2 3'
_cell_length_a 4.5847
_cell_length_b 4.5847
_cell_length_c 4.5847
_cell_angle_alpha 90.00
_cell_angle_beta 90.00
_cell_angle_gamma 90.00
loop_
_atom_site_label
_atom_site_type_symbol
_atom_site_fract_x
_atom_site_fract_y
_atom_site_fract_z
_atom_site_occupancy
Tc1 Tc 0.0000 0.0000 0.0000 1
Ru1 Ru 0.0000 0.0000 0.5000 1
Pt1 Pt 0.5000 0.5000 0.5000 1

***

(10)
# Zr3ScGa3 | Alexandria | PBE | optimized geometry
# * energy relative to the elements: -0.41 eV/atom
data_Zr3ScGa3
_symmetry_space_group_name_H-M 'P 63/m'
_symmetry_Int_Tables_number 176
_symmetry_space_group_name_Hall '-P 6c'
_cell_length_a 8.3722
_cell_length_b 8.3722
_cell_length_c 4.6221
_cell_angle_alpha 90.00
_cell_angle_beta 90.00
_cell_angle_gamma 120.00
loop_
_atom_site_label
_atom_site_type_symbol
_atom_site_fract_x
_atom_site_fract_y
_atom_site_fract_z
_atom_site_occupancy
Zr1 Zr 0.0029 0.7675 0.2500 1
Sc1 Sc 0.3333 0.6667 0.7500 1
Ga1 Ga 0.0741 0.4608 0.2500 1

***

(11)
# TlRu2Se | Alexandria | PBE | optimized geometry
# * formation energy (no corrections): 0.58 eV per atom
data_TlRu2Se
_symmetry_space_group_name_H-M 'I m m m'
_symmetry_Int_Tables_number 71
_symmetry_space_group_name_Hall '-I 2 2'
_cell_length_a 3.0764
_cell_length_b 5.3908
_cell_length_c 8.6264
_cell_angle_alpha 90.00
_cell_angle_beta 90.00
_cell_angle_gamma 90.00
loop_
_atom_site_label
_atom_site_type_symbol
_atom_site_fract_x
_atom_site_fract_y
_atom_site_fract_z
_atom_site_occupancy
Tl1 Tl 0.0000 0.0000 0.0000 1
Ru1 Ru 0.0000 0.5000 0.2201 1
Se1 Se 0.0000 0.0000 0.5000 1

***

(12)
# Dy3HoTe4 | Alexandria | PBE | optimized geometry
# * formation energy (no corrections): -1.27 eV per atom
data_Dy3HoTe4
_symmetry_space_group_name_H-M 'C m m m'
_symmetry_Int_Tables_number 65
_symmetry_space_group_name_Hall '-C 2 2'
_cell_length_a 8.8045
_cell_length_b 12.2985
_cell_length_c 4.2919
_cell_angle_alpha 90.00
_cell_angle_beta 90.00
_cell_angle_gamma 90.00
loop_
_atom_site_label
_atom_site_type_symbol
_atom_site_fract_x
_atom_site_fract_y
_atom_site_fract_z
_atom_site_occupancy
Dy1 Dy 0.0000 0.0000 0.0000 1
Dy2 Dy 0.2500 0.2500 0.5000 1
Ho1 Ho 0.0000 0.5000 0.0000 1
Te1 Te 0.0000 0.2506 0.0000 1
Te2 Te 0.2490 0.5000 0.5000 1

***

| no. | E (eV/atom) | total magnetization (μB/atom) |
| --- | --- | --- |
| 1 | -1.354 | 0.0000 |
| 2 | -7.177 | 0.0675 |
| 3 | -7.641 | 0.0000 |
| 4 | -4.140 | 0.0000 |
| 5 | -2.806 | 0.0000 |
| 6 | -4.053 | 0.0000 |
| 7 | -5.708 | 0.0000 |
| 8 | -6.455 | 0.0000 |
| 9 | -7.139 | 0.5417 |
| 10 | -6.275 | 0.0000 |
| 11 | -5.524 | 0.0000 |
| 12 | -5.138 | 0.0000 |